# AlSiTc2

A relaxed structure of AlSiTc2 (PBE, Alexandria via LeMat-Bulk).

- ΔE to the lowest computed polymorph (meV/atom) = 182
- mass density (g/cm3) = 7.3
- total energy (eV per atom) = -7.698
- magnetization (Bohr magnetons per cell) = 0.000

a b c (Å): 3.067 4.650 7.987
angles (deg): 90.00 90.00 90.00
Positions (direct):
Al 0.000 0.000 0.000
Al 0.500 0.500 0.500
Si 0.000 0.000 0.500
Si 0.500 0.500 0.000
Tc 0.000 0.500 0.231
Tc 0.000 0.500 0.769
Tc 0.500 0.000 0.269
Tc 0.500 0.000 0.731

# AlSiTc2

A relaxed structure of AlSiTc2 (PBE, Alexandria via LeMat-Bulk).

- ΔE to the lowest computed polymorph (meV/atom) = 843
- mass density (g/cm3) = 6.5
- total energy (eV per atom) = -7.037
- magnetization (Bohr magnetons per cell) = 0.000

a b c (Å): 2.780 4.162 11.136
angles (deg): 90.00 90.00 90.00
Positions (direct):
Al 0.000 0.000 0.000
Al 0.500 0.500 0.500
Si 0.000 0.000 0.500
Si 0.500 0.500 0.000
Tc 0.000 0.000 0.292
Tc 0.000 0.000 0.708
Tc 0.500 0.500 0.208
Tc 0.500 0.500 0.792

# Al2SiTc2

A relaxed structure of Al2SiTc2 (PBE, Alexandria via LeMat-Bulk).

- ΔE to the lowest computed polymorph (meV/atom) = 0
- mass density (g/cm3) = 6.2
- total energy (eV per atom) = -7.086
- magnetization (Bohr magnetons per cell) = 0.000

a b c (Å): 6.477 6.477 3.559
angles (deg): 90.00 90.00 90.00
Positions (direct):
Al 0.144 0.356 0.000
Al 0.356 0.856 0.000
Al 0.644 0.144 0.000
Al 0.856 0.644 0.000
Si 0.000 0.000 0.500
Si 0.500 0.500 0.500
Tc 0.160 0.660 0.500
Tc 0.340 0.160 0.500
Tc 0.660 0.840 0.500
Tc 0.840 0.340 0.500